A relaxed structure of PmY2Cd2. Source: Alexandria via LeMat-Bulk, functional GGA-PBE.

Computed properties:
Formation energy from the elements, eV per atom: -0.170
Relative energy among the computed polymorphs, meV per atom: 100
Magnetic moment, μB per formula unit: 0.00

Lattice parameters (Å, degrees): 5.079 6.920 8.250 90.00 90.00 90.00
Fractional coordinates of all 10 atoms:
Pm 0.000 0.000 0.000
Pm 0.500 0.500 0.500
Y 0.000 0.500 0.199
Y 0.000 0.500 0.801
Y 0.500 0.000 0.301
Y 0.500 0.000 0.699
Cd 0.000 0.206 0.500
Cd 0.000 0.794 0.500
Cd 0.500 0.294 0.000
Cd 0.500 0.706 0.000